Here is crystalline SrSn2Hg3 at its relaxed geometry from Alexandria via LeMat-Bulk. Energies are from GGA-PBE.

- size of the total moment (μB/cell) = 0.00
- DFT formation energy (eV/atom) = -0.27
- density (g/cm3) = 9.00
- DOS(E_F) (states/eV per atom) = 0.406

abc: 9.358 9.358 8.617
angles: 117.37 117.37 31.06
Fractional coordinates of all 12 atoms:
Sr: 0.141 0.141 0.141
Sr: 0.859 0.859 0.859
Sn: 0.181 0.181 0.681
Sn: 0.500 0.500 0.168
Sn: 0.500 0.500 0.832
Sn: 0.819 0.819 0.319
Hg: 0.000 0.000 0.334
Hg: 0.000 0.000 0.666
Hg: 0.320 0.320 0.099
Hg: 0.320 0.320 0.540
Hg: 0.680 0.680 0.460
Hg: 0.680 0.680 0.901

***

Here is crystalline Sr6Sn2Hg at its relaxed geometry from Alexandria via LeMat-Bulk. Energies are from GGA-PBE.

- size of the total moment (μB/cell) = 0.00
- DFT formation energy (eV/atom) = -0.43
- density (g/cm3) = 4.28
- DOS(E_F) (states/eV per atom) = 0.748

abc: 7.641 8.983 12.812
angles: 90.00 121.72 90.00
Fractional coordinates of all 18 atoms:
Sr: 0.087 0.039 0.233
Sr: 0.087 0.461 0.733
Sr: 0.203 0.682 0.065
Sr: 0.203 0.818 0.565
Sr: 0.399 0.167 0.064
Sr: 0.399 0.333 0.564
Sr: 0.601 0.667 0.436
Sr: 0.601 0.833 0.936
Sr: 0.797 0.182 0.435
Sr: 0.797 0.318 0.935
Sr: 0.913 0.539 0.267
Sr: 0.913 0.961 0.767
Sn: 0.310 0.123 0.756
Sn: 0.310 0.377 0.256
Sn: 0.690 0.623 0.744
Sn: 0.690 0.877 0.244
Hg: 0.500 0.000 0.500
Hg: 0.500 0.500 0.000

***

Here is crystalline Sr3Sn2Hg3 at its relaxed geometry from Alexandria via LeMat-Bulk. Energies are from GGA-PBE.

- size of the total moment (μB/cell) = 0.00
- DFT formation energy (eV/atom) = -0.55
- density (g/cm3) = 7.39
- DOS(E_F) (states/eV per atom) = 0.470

abc: 6.485 6.485 16.976
angles: 90.00 90.00 136.11
Fractional coordinates of all 16 atoms:
Sr: 0.083 0.917 0.605
Sr: 0.083 0.917 0.895
Sr: 0.359 0.641 0.750
Sr: 0.641 0.359 0.250
Sr: 0.917 0.083 0.105
Sr: 0.917 0.083 0.395
Sn: 0.209 0.791 0.107
Sn: 0.209 0.791 0.393
Sn: 0.791 0.209 0.607
Sn: 0.791 0.209 0.893
Hg: 0.364 0.636 0.250
Hg: 0.382 0.618 0.533
Hg: 0.382 0.618 0.967
Hg: 0.618 0.382 0.033
Hg: 0.618 0.382 0.467
Hg: 0.636 0.364 0.750

***

Here is crystalline SrSnHg2 at its relaxed geometry from Alexandria via LeMat-Bulk. Energies are from GGA-PBE.

- size of the total moment (μB/cell) = 0.00
- DFT formation energy (eV/atom) = -0.28
- density (g/cm3) = 7.70
- DOS(E_F) (states/eV per atom) = 0.562

abc: 4.820 4.820 19.529
angles: 90.00 90.00 120.00
Fractional coordinates of all 12 atoms:
Sr: 0.000 0.000 0.000
Sr: 0.333 0.667 0.667
Sr: 0.667 0.333 0.333
Sn: 0.000 0.000 0.194
Sn: 0.333 0.667 0.860
Sn: 0.667 0.333 0.527
Hg: 0.000 0.000 0.425
Hg: 0.000 0.000 0.578
Hg: 0.333 0.667 0.092
Hg: 0.333 0.667 0.244
Hg: 0.667 0.333 0.758
Hg: 0.667 0.333 0.911

***

Here is crystalline SrSn3Hg at its relaxed geometry from Alexandria via LeMat-Bulk. Energies are from GGA-PBE.

- size of the total moment (μB/cell) = 0.00
- DFT formation energy (eV/atom) = -0.25
- density (g/cm3) = 6.97
- DOS(E_F) (states/eV per atom) = 0.310

abc: 15.387 15.387 4.466
angles: 90.00 90.00 163.13
Fractional coordinates of all 10 atoms:
Sr: 0.169 0.831 0.000
Sr: 0.831 0.169 0.000
Sn: 0.051 0.949 0.500
Sn: 0.279 0.721 0.500
Sn: 0.449 0.551 0.000
Sn: 0.551 0.449 0.000
Sn: 0.721 0.279 0.500
Sn: 0.949 0.051 0.500
Hg: 0.378 0.622 0.500
Hg: 0.622 0.378 0.500

***

Here is crystalline Sr2SnHg2 at its relaxed geometry from Alexandria via LeMat-Bulk. Energies are from GGA-PBE.

- size of the total moment (μB/cell) = 0.00
- DFT formation energy (eV/atom) = -0.33
- density (g/cm3) = 6.52
- DOS(E_F) (states/eV per atom) = 0.640

abc: 6.320 6.320 8.867
angles: 90.00 90.00 90.00
Fractional coordinates of all 10 atoms:
Sr: 0.000 0.500 0.250
Sr: 0.000 0.500 0.750
Sr: 0.500 0.000 0.250
Sr: 0.500 0.000 0.750
Sn: 0.000 0.000 0.000
Sn: 0.500 0.500 0.500
Hg: 0.000 0.000 0.343
Hg: 0.000 0.000 0.657
Hg: 0.500 0.500 0.157
Hg: 0.500 0.500 0.843

***

Here is crystalline Sr12SnHg6 at its relaxed geometry from Alexandria via LeMat-Bulk. Energies are from GGA-PBE.

- size of the total moment (μB/cell) = 0.00
- DFT formation energy (eV/atom) = -0.40
- density (g/cm3) = 5.36
- DOS(E_F) (states/eV per atom) = 0.574

abc: 9.846 9.846 9.846
angles: 109.47 109.47 109.47
Fractional coordinates of all 19 atoms:
Sr: 0.109 0.819 0.290
Sr: 0.181 0.290 0.471
Sr: 0.181 0.710 0.891
Sr: 0.290 0.109 0.819
Sr: 0.290 0.471 0.181
Sr: 0.471 0.181 0.290
Sr: 0.529 0.819 0.710
Sr: 0.710 0.529 0.819
Sr: 0.710 0.891 0.181
Sr: 0.819 0.290 0.109
Sr: 0.819 0.710 0.529
Sr: 0.891 0.181 0.710
Sn: 0.000 0.000 0.000
Hg: 0.133 0.633 0.500
Hg: 0.367 0.500 0.867
Hg: 0.500 0.133 0.633
Hg: 0.500 0.867 0.367
Hg: 0.633 0.500 0.133
Hg: 0.867 0.367 0.500

***

Here is crystalline Sr3Sn4Hg2 at its relaxed geometry from Alexandria via LeMat-Bulk. Energies are from GGA-PBE.

- size of the total moment (μB/cell) = 0.00
- DFT formation energy (eV/atom) = -0.51
- density (g/cm3) = 6.72
- DOS(E_F) (states/eV per atom) = 0.200

abc: 6.658 6.658 9.521
angles: 102.36 102.36 43.23
Fractional coordinates of all 9 atoms:
Sr: 0.000 0.000 0.000
Sr: 0.365 0.365 0.311
Sr: 0.635 0.635 0.689
Sn: 0.065 0.065 0.387
Sn: 0.299 0.299 0.946
Sn: 0.701 0.701 0.054
Sn: 0.935 0.935 0.613
Hg: 0.315 0.315 0.643
Hg: 0.685 0.685 0.357